Computed, not measured: crystalline LiTeWO6 at its relaxed geometry at the GGA+U level of DFT.

abc: 5.3537 5.3537 9.6683
angles: 90.00 90.00 120.00
Sites, in units of the cell vectors:
W 0.3333 0.6667 0.7500
W 0.6667 0.3333 0.2500
O 0.3783 0.0109 0.1373
O 0.3674 0.3783 0.8627
O 0.3783 0.3674 0.3627
O 0.6326 0.6217 0.1373
O 0.0109 0.3783 0.6373
O 0.0109 0.6326 0.8627
O 0.6217 0.9891 0.8627
O 0.6326 0.0109 0.3627
O 0.9891 0.3674 0.1373
O 0.6217 0.6326 0.6373
O 0.3674 0.9891 0.6373
O 0.9891 0.6217 0.3627
Li 0.0000 0.0000 0.5000
Li 0.0000 0.0000 0.0000
Te 0.6667 0.3333 0.7500
Te 0.3333 0.6667 0.2500

V (Å³ per atom): 13.3
Space-group type: P-31c, No. 163
Density of states at the Fermi level (states/eV per cell): 7.031
E_tot (eV per atom): -6.17